# 1
Compound: PrGaSi2Ni5
Source: Alexandria via LeMat-Bulk
Functional: GGA-PBE
Structure: relaxed

a b c (Å): 3.803 3.803 9.937
angles (deg): 90.00 90.00 90.00
Space group P4/mmm (No. 123)
Unique sites:
Pr  0.000  0.000  0.000 x1
Ga  0.000  0.000  0.500 x1
Si  0.500  0.500  0.223 x2
Ni  0.000  0.500  0.348 x4
Ni  0.500  0.500  0.000 x1

Output
V: 143.7 Å³ per cell
Raw total energy: -5.5781 eV per atom
Total magnetization: 0.00 μB per cell
DOS(E_F): 5.722 states/eV/f.u.

---

# 2
Compound: Tb2InTe5
Source: Alexandria via LeMat-Bulk
Functional: GGA-PBE
Structure: relaxed

a b c (Å): 6.195 14.881 13.660
angles (deg): 90.00 90.00 90.00
Space group Cmcm (No. 63)
Unique sites:
Tb  0.000  0.170  0.068 x8
In  0.000  0.195  0.750 x4
Te  0.000  0.034  0.604 x8
Te  0.000  0.290  0.250 x4
Te  0.000  0.323  0.582 x8

Output
V: 1259.3 Å³ per cell
Raw total energy: -4.2945 eV per atom
Total magnetization: 0.00 μB per cell
DOS(E_F): 5.828 states/eV/f.u.

---

# 3
Compound: Er5Th3Bi8
Source: Alexandria via LeMat-Bulk
Functional: GGA-PBE
Structure: relaxed

a b c (Å): 9.0238 9.0238 22.0213
angles (deg): 90.00 90.00 120.00
Space group R-3m (No. 166, hexagonal axes)
Unique sites:
Er  0.0000  0.0000  0.0000 x3
Er  0.0000  0.0000  0.5000 x3
Er  0.0000  0.5000  0.0000 x9
Th  0.0000  0.5000  0.5000 x9
Bi  0.0000  0.0000  0.2542 x6
Bi  0.0051  0.5026  0.2526 x18

Output
V: 1552.9 Å³ per cell
Total magnetization: 0.00 μB per cell
E_form: -716 meV per atom
DOS(E_F): 7.546 states/eV/f.u.

---

# 4
Compound: NdCdGe4
Source: Alexandria via LeMat-Bulk
Functional: GGA-PBE
Structure: relaxed

a b c (Å): 8.020 8.020 8.020
angles (deg): 90.00 90.00 90.00
Space group F-43m (No. 216)
Unique sites:
Nd  0.000  0.000  0.000 x4
Cd  0.250  0.250  0.750 x4
Ge  0.125  0.125  0.375 x16

Output
V: 515.8 Å³ per cell
Total magnetization: 0.00 μB per cell
E_form: -190 meV per atom
DOS(E_F): 2.288 states/eV/f.u.

---

# 5
Compound: BaSiSeBr2
Source: Alexandria via LeMat-Bulk
Functional: GGA-PBE
Structure: relaxed

a b c (Å): 5.291 5.291 5.302
angles (deg): 90.00 90.00 90.00
Space group P4/mmm (No. 123)
Unique sites:
Ba  0.000  0.000  0.000 x1
Si  0.500  0.500  0.500 x1
Se  0.500  0.500  0.000 x1
Br  0.000  0.500  0.500 x2

Output
V: 148.5 Å³ per cell
Raw total energy: -3.8334 eV per atom
Total magnetization: 0.00 μB per cell
DOS(E_F): 0.501 states/eV/f.u.

---

# 6
Compound: Rb3U3HgS8
Source: Alexandria via LeMat-Bulk
Functional: GGA-PBE
Structure: relaxed

a b c (Å): 8.1284 8.1284 23.2141
angles (deg): 90.00 90.00 120.00
Space group R-3m (No. 166, hexagonal axes)
Unique sites:
Rb  0.0000  0.5000  0.0000 x9
U  0.0000  0.5000  0.5000 x9
Hg  0.0000  0.0000  0.5000 x3
S  0.0000  0.0000  0.2306 x6
S  0.0211  0.5105  0.7698 x18

Output
V: 1328.5 Å³ per cell
Raw total energy: -5.8646 eV per atom
Total magnetization: 20.29 μB per cell
DOS(E_F): 13.946 states/eV/f.u.

---

# 7
Compound: Hg2PBr
Source: Alexandria via LeMat-Bulk
Functional: GGA-PBE
Structure: relaxed

a b c (Å): 7.202 7.202 7.202
angles (deg): 90.00 90.00 90.00
Space group F-43m (No. 216)
Unique sites:
Hg  0.000  0.000  0.000 x4
Hg  0.250  0.250  0.250 x4
P  0.000  0.000  0.500 x4
Br  0.250  0.250  0.750 x4

Output
V: 373.5 Å³ per cell
Raw total energy: -1.3430 eV per atom
Total magnetization: 0.00 μB per cell
DOS(E_F): 2.470 states/eV/f.u.

---

# 8
Compound: SbPd6Pb2
Source: Alexandria via LeMat-Bulk
Functional: GGA-PBE
Structure: relaxed

a b c (Å): 7.6346 7.6346 3.2705
angles (deg): 90.00 90.00 120.00
Space group P-62m (No. 189)
Unique sites:
Sb  0.0000  0.0000  0.0000 x1
Pd  0.0000  0.3643  0.0000 x3
Pd  0.0000  0.7151  0.5000 x3
Pb  0.3333  0.6667  0.5000 x2

Output
V: 165.1 Å³ per cell
Raw total energy: -5.0495 eV per atom
Total magnetization: 0.00 μB per cell
DOS(E_F): 4.257 states/eV/f.u.

---

# 9
Compound: CsHW3
Source: Alexandria via LeMat-Bulk
Functional: GGA-PBE
Structure: relaxed

a b c (Å): 4.296 4.296 4.296
angles (deg): 90.00 90.00 90.00
Space group Pm-3m (No. 221)
Unique sites:
Cs  0.000  0.000  0.000 x1
H  0.500  0.500  0.500 x1
W  0.000  0.500  0.500 x3

Output
V: 79.3 Å³ per cell
Raw total energy: -6.4558 eV per atom
Total magnetization: 0.00 μB per cell
DOS(E_F): 6.444 states/eV/f.u.

---

# 10
Compound: LaC3Se
Source: Alexandria via LeMat-Bulk
Functional: GGA-PBE
Structure: relaxed

a b c (Å): 4.608 4.608 4.608
angles (deg): 90.00 90.00 90.00
Space group Pm-3m (No. 221)
Unique sites:
La  0.000  0.000  0.000 x1
C  0.000  0.000  0.500 x3
Se  0.500  0.500  0.500 x1

Output
V: 97.8 Å³ per cell
Raw total energy: -4.1814 eV per atom
Total magnetization: 0.00 μB per cell
DOS(E_F): 6.418 states/eV/f.u.

---

# 11
Compound: Zr3CdH
Source: Alexandria via LeMat-Bulk
Functional: GGA-PBE
Structure: relaxed

a b c (Å): 4.199 4.199 7.405
angles (deg): 90.00 90.00 90.00
Space group P4mm (No. 99)
Unique sites:
Zr  0.000  0.000  0.000 x1
Zr  0.000  0.500  0.290 x2
Cd  0.000  0.000  0.595 x1
H  0.500  0.500  0.337 x1

Output
V: 130.5 Å³ per cell
Raw total energy: -5.4796 eV per atom
Total magnetization: 0.00 μB per cell
DOS(E_F): 5.321 states/eV/f.u.

---

# 12
Compound: Tb4CdCuHg2
Source: Alexandria via LeMat-Bulk
Functional: GGA-PBE
Structure: relaxed

a b c (Å): 5.2251 5.2251 25.4332
angles (deg): 90.00 90.00 120.00
Space group R-3m (No. 166, hexagonal axes)
Unique sites:
Tb  0.0000  0.0000  0.1184 x6
Tb  0.0000  0.0000  0.3693 x6
Cd  0.0000  0.0000  0.5000 x3
Cu  0.0000  0.0000  0.0000 x3
Hg  0.0000  0.0000  0.2445 x6

Output
V: 601.3 Å³ per cell
Total magnetization: 0.00 μB per cell
E_form: -368 meV per atom
DOS(E_F): 6.572 states/eV/f.u.

---

# 13
Compound: Ag2RuAu
Source: Alexandria via LeMat-Bulk
Functional: GGA-PBE
Structure: relaxed

a b c (Å): 2.8188 2.8188 29.3147
angles (deg): 90.00 90.00 120.00
Space group R-3m (No. 166, hexagonal axes)
Unique sites:
Ag  0.0000  0.0000  0.2469 x6
Ru  0.0000  0.0000  0.5000 x3
Au  0.0000  0.0000  0.0000 x3

Output
V: 201.7 Å³ per cell
Total magnetization: 1.38 μB per cell
E_form: 309 meV per atom
DOS(E_F): 2.225 states/eV/f.u.

---

# 14
Compound: VSeCl3
Source: Alexandria via LeMat-Bulk
Functional: GGA-PBE
Structure: relaxed

a b c (Å): 6.651 13.836 11.976
angles (deg): 90.00 94.90 90.00
Space group C2/c (No. 15)
Unique sites:
V  0.072  0.061  0.141 x8
Se  0.153  0.192  0.301 x8
Cl  0.124  0.089  0.537 x8
Cl  0.156  0.376  0.928 x8
Cl  0.226  0.028  0.793 x8

Output
V: 1098.0 Å³ per cell
Raw total energy: -4.5410 eV per atom
Total magnetization: 8.22 μB per cell
DOS(E_F): 2.099 states/eV/f.u.

---

# 15
Compound: NaHgH
Source: Alexandria via LeMat-Bulk
Functional: GGA-PBE
Structure: relaxed

a b c (Å): 3.6039 3.6039 5.4041
angles (deg): 90.00 90.00 120.00
Space group P3m1 (No. 156)
Unique sites:
Na  0.0000  0.0000  0.0000 x1
Hg  0.3333  0.6667  0.5107 x1
H  0.6667  0.3333  0.1354 x1

Output
V: 60.8 Å³ per cell
Raw total energy: -1.7030 eV per atom
Total magnetization: 0.00 μB per cell

---

# 16
Compound: Tb6Mg5Tl
Source: Alexandria via LeMat-Bulk
Functional: GGA-PBE
Structure: relaxed

a b c (Å): 5.367 16.158 7.588
angles (deg): 90.00 90.00 90.00
Space group Cmmm (No. 65)
Unique sites:
Tb  0.000  0.000  0.249 x4
Tb  0.000  0.333  0.247 x8
Mg  0.000  0.167  0.000 x4
Mg  0.000  0.171  0.500 x4
Mg  0.000  0.500  0.000 x2
Tl  0.000  0.500  0.500 x2

Output
V: 658.0 Å³ per cell
Total magnetization: 0.00 μB per cell
E_form: -142 meV per atom
DOS(E_F): 14.720 states/eV/f.u.

---

# 17
Compound: RbSrInSe3
Source: Alexandria via LeMat-Bulk
Functional: GGA-PBE
Structure: relaxed

a b c (Å): 17.107 5.435 9.020
angles (deg): 90.00 103.46 90.00
Space group C2/m (No. 12)
Unique sites:
Rb  0.153  0.000  0.061 x4
Sr  0.145  0.000  0.561 x4
In  0.012  0.500  0.272 x4
Se  0.001  0.000  0.272 x4
Se  0.143  0.500  0.765 x4
Se  0.167  0.500  0.337 x4

Output
V: 815.5 Å³ per cell
Raw total energy: -3.7206 eV per atom
Total magnetization: 0.00 μB per cell

---

# 18
Compound: HoPuAgPt
Source: Alexandria via LeMat-Bulk
Functional: GGA-PBE
Structure: relaxed

a b c (Å): 7.124 7.124 7.124
angles (deg): 90.00 90.00 90.00
Space group F-43m (No. 216)
Unique sites:
Ho  0.000  0.000  0.000 x4
Pu  0.000  0.000  0.500 x4
Ag  0.250  0.250  0.750 x4
Pt  0.250  0.250  0.250 x4

Output
V: 361.5 Å³ per cell
Total magnetization: 22.45 μB per cell
E_form: -520 meV per atom
DOS(E_F): 10.930 states/eV/f.u.

---

# 19
Compound: Nd4ZnAg3
Source: Alexandria via LeMat-Bulk
Functional: GGA-PBE
Structure: relaxed

a b c (Å): 3.837 4.825 11.563
angles (deg): 90.00 90.00 90.00
Space group Pmm2 (No. 25)
Unique sites:
Nd  0.000  0.000  0.000 x1
Nd  0.000  0.500  0.291 x1
Nd  0.500  0.000  0.496 x1
Nd  0.500  0.500  0.791 x1
Zn  0.500  0.000  0.219 x1
Ag  0.000  0.000  0.720 x1
Ag  0.000  0.500  0.570 x1
Ag  0.500  0.500  0.072 x1

Output
V: 214.1 Å³ per cell
Total magnetization: 0.00 μB per cell
E_form: -241 meV per atom
DOS(E_F): 9.110 states/eV/f.u.

---

# 20
Compound: Pr8Bi5Pb
Source: Alexandria via LeMat-Bulk
Functional: GGA-PBE
Structure: relaxed

a b c (Å): 9.764 9.764 9.780
angles (deg): 90.00 90.00 90.00
Space group I-4 (No. 82)
Unique sites:
Pr  0.071  0.178  0.197 x8
Pr  0.071  0.320  0.554 x8
Bi  0.000  0.500  0.250 x2
Bi  0.125  0.250  0.876 x8
Pb  0.000  0.000  0.500 x2

Output
V: 932.5 Å³ per cell
Total magnetization: 0.00 μB per cell
E_form: -803 meV per atom
DOS(E_F): 15.958 states/eV/f.u.

---

# 21
Compound: Re2TcTe
Source: Alexandria via LeMat-Bulk
Functional: GGA-PBE
Structure: relaxed

a b c (Å): 3.140 4.759 9.330
angles (deg): 90.00 90.00 90.00
Space group Cmm2 (No. 35)
Unique sites:
Re  0.000  0.000  0.000 x2
Re  0.000  0.500  0.221 x2
Tc  0.000  0.500  0.779 x2
Te  0.000  0.000  0.511 x2

Output
V: 139.4 Å³ per cell
Raw total energy: -8.7851 eV per atom
Total magnetization: 0.00 μB per cell
DOS(E_F): 4.875 states/eV/f.u.

---

# 22
Compound: NpPBrO6
Source: Alexandria via LeMat-Bulk
Functional: GGA-PBE
Structure: relaxed

a b c (Å): 5.111 5.112 7.553
angles (deg): 90.01 90.10 119.98
Space group P1 (No. 1)
Unique sites:
Np  0.000  0.000  0.000 x1
P  0.667  0.333  0.000 x1
Br  0.333  0.667  0.500 x1
O  0.381  0.063  0.871 x1
O  0.382  0.319  0.129 x1
O  0.681  0.618  0.871 x1
O  0.682  0.063  0.129 x1
O  0.936  0.318  0.871 x1
O  0.937  0.619  0.129 x1

Output
V: 170.9 Å³ per cell
Raw total energy: -7.0995 eV per atom
Total magnetization: 0.95 μB per cell
DOS(E_F): 4.849 states/eV/f.u.

---

# 23
Compound: LiNdSmOs
Source: Alexandria via LeMat-Bulk
Functional: GGA-PBE
Structure: relaxed

a b c (Å): 7.111 7.111 7.111
angles (deg): 90.00 90.00 90.00
Space group F-43m (No. 216)
Unique sites:
Li  0.000  0.000  0.000 x4
Nd  0.250  0.250  0.250 x4
Sm  0.250  0.250  0.750 x4
Os  0.000  0.000  0.500 x4

Output
V: 359.6 Å³ per cell
Total magnetization: 0.00 μB per cell
E_form: -104 meV per atom
DOS(E_F): 2.319 states/eV/f.u.

---

# 24
Compound: Zn2TeOs
Source: Alexandria via LeMat-Bulk
Functional: GGA-PBE
Structure: relaxed

a b c (Å): 3.090 3.090 8.001
angles (deg): 90.00 90.00 90.00
Space group P4mm (No. 99)
Unique sites:
Zn  0.000  0.000  0.000 x1
Zn  0.500  0.500  0.215 x1
Te  0.500  0.500  0.626 x1
Os  0.000  0.000  0.428 x1

Output
V: 76.4 Å³ per cell
Raw total energy: -3.8732 eV per atom
Total magnetization: 0.00 μB per cell
DOS(E_F): 1.662 states/eV/f.u.